Record 1
DFT (GGA-PBE) results for a relaxed structure of Bi2SbF.

## Properties
Space group: Fm-3m
Formation energy without anion corrections: -1.81 eV/f.u.
Calculated volume: 24.97 A^3/atom
Offset from the most stable computed form: 66 meV per atom
Total energy: -15.57 eV for the cell shown
DOS(E_F): 4.74 states/eV/cell
Magnetic moment: 0.000 μB/atom

abc: 5.2077 5.2077 5.2077
angles: 60.00 60.00 60.00
Fractional coordinates of all 4 atoms:
Bi: 0.7500 0.7500 0.7500
Bi: 0.2500 0.2500 0.2500
F: 0.0000 0.0000 0.0000
Sb: 0.5000 0.5000 0.5000

***

Record 2
DFT (GGA-PBE) results for a relaxed structure of BiSb2F2.

## Properties
Space group: P4/mbm
Formation energy without anion corrections: -3.52 eV/f.u.
Calculated volume: 20.35 A^3/atom
Offset from the most stable computed form: 39 meV per atom
Total energy: -38.77 eV for the cell shown
DOS(E_F): 5.56 states/eV/cell
Magnetic moment: 0.000 μB/atom

abc: 7.9818 7.9818 3.1944
angles: 90.00 90.00 90.00
Fractional coordinates of all 10 atoms:
Sb: 0.8701 0.3701 0.5000
Sb: 0.1299 0.6299 0.5000
Sb: 0.6299 0.8701 0.5000
Sb: 0.3701 0.1299 0.5000
F: 0.1586 0.3414 0.0000
F: 0.6586 0.1586 0.0000
F: 0.3414 0.8414 0.0000
F: 0.8414 0.6586 0.0000
Bi: 0.0000 0.0000 0.0000
Bi: 0.5000 0.5000 0.0000

***

Record 3
DFT (GGA-PBE) results for a relaxed structure of BiSbF3.

## Properties
Space group: Pm-3m
Formation energy without anion corrections: -6.15 eV/f.u.
Calculated volume: 19.57 A^3/atom
Offset from the most stable computed form: 57 meV per atom
Total energy: -19.77 eV for the cell shown
DOS(E_F): 2.20 states/eV/cell
Magnetic moment: 0.000 μB/atom

abc: 4.6079 4.6079 4.6079
angles: 90.00 90.00 90.00
Fractional coordinates of all 5 atoms:
Bi: 0.5000 0.5000 0.5000
F: 0.5000 0.0000 0.0000
F: 0.0000 0.5000 0.0000
F: 0.0000 0.0000 0.5000
Sb: 0.0000 0.0000 0.0000

***

Record 4
DFT (GGA-PBE) results for a relaxed structure of BiSbF.

## Properties
Space group: P-1
Formation energy without anion corrections: -2.47 eV/f.u.
Calculated volume: 26.99 A^3/atom
Offset from the most stable computed form: 74 meV per atom
Total energy: -24.68 eV for the cell shown
DOS(E_F): 0.45 states/eV/cell
Magnetic moment: 0.000 μB/atom

abc: 6.0012 5.0902 8.0681
angles: 54.90 70.94 53.44
Fractional coordinates of all 6 atoms:
Sb: 0.2743 0.2340 0.2235
Sb: 0.7257 0.7660 0.7765
Bi: 0.8501 0.9554 0.3438
Bi: 0.1499 0.0446 0.6562
F: 0.5051 0.2759 0.7709
F: 0.4949 0.7241 0.2291